Record 1
The following is a PBE-GGA calculation of Ca2DyRh9 after structural relaxation, from Alexandria via LeMat-Bulk.

Cell lengths 5.275, 5.275, 9.281 Å; angles 73.49, 73.49, 60.00 degrees
Sites, in units of the cell vectors:
1 Rh 0.500 0.500 0.500
2 Rh 0.083 0.581 0.756
3 Rh 0.333 0.333 0.001
4 Rh 0.581 0.083 0.756
5 Rh 0.667 0.667 0.999
6 Rh 0.419 0.419 0.244
7 Rh 0.581 0.581 0.756
8 Rh 0.419 0.917 0.244
9 Rh 0.917 0.419 0.244
10 Ca 0.859 0.859 0.422
11 Ca 0.141 0.141 0.578
12 Dy 0.000 0.000 0.000

The value obtained for the formation energy is -4.46 eV/f.u.

Record 2
The following is a PBE-GGA calculation of CaDy4Rh4 after structural relaxation, from Alexandria via LeMat-Bulk.

Cell lengths 5.584, 8.883, 8.883 Å; angles 90.00, 90.00, 90.00 degrees
Sites, in units of the cell vectors:
1 Dy 0.095 0.176 0.591
2 Dy 0.595 0.091 0.324
3 Dy 0.905 0.591 0.824
4 Dy 0.095 0.824 0.409
5 Dy 0.905 0.409 0.176
6 Dy 0.405 0.324 0.909
7 Dy 0.595 0.909 0.676
8 Dy 0.405 0.676 0.091
9 Ca 0.500 0.500 0.500
10 Ca 0.000 0.000 0.000
11 Rh 0.596 0.786 0.371
12 Rh 0.904 0.286 0.871
13 Rh 0.404 0.371 0.214
14 Rh 0.596 0.214 0.629
15 Rh 0.096 0.871 0.714
16 Rh 0.404 0.629 0.786
17 Rh 0.096 0.129 0.286
18 Rh 0.904 0.714 0.129

The value obtained for the formation energy is -5.41 eV/f.u.

Record 3
The following is a PBE-GGA calculation of CaDy4Rh5 after structural relaxation, from Alexandria via LeMat-Bulk.

Cell lengths 3.432, 3.432, 17.094 Å; angles 90.00, 90.00, 90.00 degrees
Sites, in units of the cell vectors:
1 Dy 0.000 0.000 0.799
2 Dy 0.000 0.000 0.600
3 Dy 0.000 0.000 0.201
4 Dy 0.000 0.000 0.400
5 Rh 0.500 0.500 0.697
6 Rh 0.500 0.500 0.500
7 Rh 0.500 0.500 0.110
8 Rh 0.500 0.500 0.303
9 Rh 0.500 0.500 0.890
10 Ca 0.000 0.000 0.000

The value obtained for the formation energy is -7.86 eV/f.u.

Record 4
The following is a PBE-GGA calculation of CaDySnRh after structural relaxation, from Alexandria via LeMat-Bulk.

Cell lengths 5.106, 5.106, 5.106 Å; angles 60.00, 60.00, 60.00 degrees
Sites, in units of the cell vectors:
1 Sn 0.250 0.250 0.250
2 Rh 0.750 0.750 0.750
3 Dy 0.000 0.000 0.000
4 Ca 0.500 0.500 0.500

The value obtained for the formation energy is -2.19 eV/f.u.

Record 5
The following is a PBE-GGA calculation of CaDy2TmRh4 after structural relaxation, from Alexandria via LeMat-Bulk.

Cell lengths 4.815, 4.815, 8.358 Å; angles 73.26, 73.26, 60.00 degrees
Sites, in units of the cell vectors:
1 Dy 0.749 0.749 0.754
2 Dy 0.251 0.251 0.246
3 Rh 0.872 0.872 0.384
4 Rh 0.621 0.621 0.136
5 Rh 0.379 0.379 0.864
6 Rh 0.128 0.128 0.616
7 Tm 0.500 0.500 0.500
8 Ca 0.000 0.000 0.000

The value obtained for the formation energy is -6.32 eV/f.u.

Record 6
The following is a PBE-GGA calculation of CaDyZnRh after structural relaxation, from Alexandria via LeMat-Bulk.

Cell lengths 4.955, 4.955, 4.955 Å; angles 60.00, 60.00, 60.00 degrees
Sites, in units of the cell vectors:
1 Ca 0.500 0.500 0.500
2 Zn 0.750 0.750 0.750
3 Rh 0.250 0.250 0.250
4 Dy 0.000 0.000 0.000

The value obtained for the formation energy is -1.74 eV/f.u.

Record 7
The following is a PBE-GGA calculation of CaDyRu4 after structural relaxation, from Alexandria via LeMat-Bulk.

Cell lengths 5.338, 5.338, 5.338 Å; angles 60.00, 60.00, 60.00 degrees
Sites, in units of the cell vectors:
1 Ca 0.250 0.250 0.250
2 Ru 0.125 0.625 0.625
3 Ru 0.625 0.625 0.125
4 Ru 0.625 0.125 0.625
5 Ru 0.625 0.625 0.625
6 Dy 0.000 0.000 0.000

The value obtained for the formation energy is -0.59 eV/f.u.

Record 8
The following is a PBE-GGA calculation of CaDy3Ru after structural relaxation, from Alexandria via LeMat-Bulk.

Cell lengths 5.436, 5.436, 5.436 Å; angles 90.00, 90.00, 90.00 degrees
Sites, in units of the cell vectors:
1 Dy 0.500 0.000 0.000
2 Dy 0.000 0.500 0.000
3 Dy 0.000 0.000 0.500
4 Ru 0.000 0.000 0.000
5 Ca 0.500 0.500 0.500

The value obtained for the formation energy is -0.76 eV/f.u.

Record 9
The following is a PBE-GGA calculation of CaDy2Ru after structural relaxation, from Alexandria via LeMat-Bulk.

Cell lengths 3.443, 3.443, 9.516 Å; angles 90.00, 90.00, 90.00 degrees
Sites, in units of the cell vectors:
1 Ca 0.500 0.500 0.500
2 Dy 0.000 0.000 0.828
3 Dy 0.000 0.000 0.172
4 Ru 0.500 0.500 0.000

The value obtained for the distance to the lowest polymorph of the same formula is 0.0 meV per atom. The value obtained for the formation energy is -0.90 eV/f.u.

Record 10
The following is a PBE-GGA calculation of CaDyRu after structural relaxation, from Alexandria via LeMat-Bulk.

Cell lengths 3.462, 3.462, 6.885 Å; angles 104.56, 104.56, 90.00 degrees
Sites, in units of the cell vectors:
1 Dy 0.289 0.289 0.577
2 Ca 0.034 0.034 0.069
3 Ru 0.677 0.677 0.354

The value obtained for the formation energy is -0.36 eV/f.u.

Record 11
The following is a PBE-GGA calculation of CaDy2Ru after structural relaxation, from Alexandria via LeMat-Bulk.

Cell lengths 3.810, 3.810, 10.690 Å; angles 79.73, 79.73, 60.00 degrees
Sites, in units of the cell vectors:
1 Dy 0.885 0.885 0.346
2 Dy 0.115 0.115 0.654
3 Ca 0.000 0.000 0.000
4 Ru 0.500 0.500 0.500

The value obtained for the distance to the lowest polymorph of the same formula is 247.1 meV per atom. The value obtained for the formation energy is 0.09 eV/f.u.

Record 12
The following is a PBE-GGA calculation of CaDy2S after structural relaxation, from Alexandria via LeMat-Bulk.

Cell lengths 3.739, 3.739, 10.259 Å; angles 79.50, 79.50, 60.00 degrees
Sites, in units of the cell vectors:
1 S 0.500 0.500 0.500
2 Dy 0.887 0.887 0.340
3 Dy 0.113 0.113 0.660
4 Ca 0.000 0.000 0.000

Its uncorrected formation energy is -0.791 eV/atom.

Number 1: V 211.3 Å³/f.u., total magnetic moment 0.000 μB/atom, mass density 9.2 g cm⁻³. Number 2: V 220.3 Å³/f.u., total magnetic moment 0.000 μB/atom, mass density 8.3 g cm⁻³. Number 3: V 201.4 Å³/f.u., total magnetic moment 0.000 μB/atom, mass density 9.9 g cm⁻³. Number 4: V 94.1 Å³/f.u., total magnetic moment 0.000 μB/atom, mass density 7.5 g cm⁻³. Number 5: V 158.2 Å³/f.u., total magnetic moment 0.000 μB/atom, mass density 9.9 g cm⁻³. Number 6: V 86.0 Å³/f.u., total magnetic moment 0.000 μB/atom, mass density 7.2 g cm⁻³. Number 7: V 107.6 Å³/f.u., total magnetic moment 0.000 μB/atom, mass density 9.4 g cm⁻³. Number 8: V 160.7 Å³/f.u., total magnetic moment 0.000 μB/atom, mass density 6.5 g cm⁻³. Number 9: V 112.8 Å³/f.u., total magnetic moment 0.000 μB/atom, mass density 6.9 g cm⁻³. Number 10: V 77.1 Å³/f.u., total magnetic moment 0.000 μB/atom, mass density 6.5 g cm⁻³. Number 11: V 131.5 Å³/f.u., total magnetic moment 0.000 μB/atom, mass density 5.9 g cm⁻³. Number 12: V 121.5 Å³/f.u., total magnetic moment 0.000 μB/atom, mass density 5.4 g cm⁻³.